1.
First-principles (PBE) data for crystalline K2CuF4 at its relaxed geometry, as listed in Alexandria.

Structure (POSCAR):
```
K2CuF4
1.0
-2.9597 2.9597 12.9037
2.9597 -2.9597 12.9037
2.9597 2.9597 -12.9037
K Cu F
8 4 16
Direct
0.0539 0.8039 0.2500 K
0.1961 0.9461 0.2500 K
0.3039 0.5539 0.7500 K
0.4461 0.6961 0.7500 K
0.5539 0.3039 0.2500 K
0.6961 0.4461 0.2500 K
0.8039 0.0539 0.7500 K
0.9461 0.1961 0.7500 K
0.1250 0.3750 0.7500 Cu
0.3750 0.1250 0.2500 Cu
0.6250 0.8750 0.7500 Cu
0.8750 0.6250 0.2500 Cu
0.0482 0.2982 0.7500 F
0.1076 0.8576 0.7151 F
0.1424 0.3576 0.2500 F
0.2018 0.4518 0.7500 F
0.2982 0.0482 0.2500 F
0.3576 0.6076 0.2151 F
0.3924 0.1076 0.7500 F
0.4518 0.2018 0.2500 F
0.5482 0.7982 0.7500 F
0.6076 0.8924 0.2500 F
0.6424 0.3924 0.7849 F
0.7018 0.9518 0.7500 F
0.7982 0.5482 0.2500 F
0.8576 0.6424 0.7500 F
0.8924 0.1424 0.2849 F
0.9518 0.7018 0.2500 F
```

## Properties
Uncorrected energy ... -4.27 eV per atom
SG ... No. 142
ΔE_f (raw) ... -2.30 eV/atom


2.
First-principles (PBE) data for crystalline SrY2TaPd at its relaxed geometry, as listed in Alexandria.

Structure (POSCAR):
```
SrY2TaPd
1.0
5.3908 0.0000 0.0000
0.0000 5.3908 0.0000
0.0000 0.0000 5.6216
Sr Y Ta Pd
1 2 1 1
Direct
0.0000 0.0000 0.0000 Sr
0.0000 0.5000 0.5000 Y
0.5000 0.0000 0.5000 Y
0.5000 0.5000 0.0000 Ta
0.0000 0.0000 0.5000 Pd
```

## Properties
Uncorrected energy ... -5.71 eV per atom
SG ... No. 123


3.
First-principles (PBE) data for crystalline Tb2NdTl at its relaxed geometry, as listed in Alexandria.

Structure (POSCAR):
```
Tb2NdTl
1.0
1.7615 1.0170 12.0191
-1.7615 1.0170 12.0191
0.0000 -2.0341 12.0191
Tb Nd Tl
2 1 1
Direct
0.0955 0.0955 0.0955 Tb
0.9045 0.9045 0.9045 Tb
0.0000 0.0000 0.0000 Nd
0.5000 0.5000 0.5000 Tl
```

## Properties
Uncorrected energy ... -4.00 eV per atom
SG ... No. 166


4.
First-principles (PBE) data for crystalline VCrSb3 at its relaxed geometry, as listed in Alexandria.

Structure (POSCAR):
```
VCrSb3
1.0
5.0506 0.0000 0.0000
0.0000 5.0506 0.0000
0.0000 0.0000 5.0506
V Cr Sb
1 1 3
Direct
0.0000 0.0000 0.0000 V
0.5000 0.5000 0.5000 Cr
0.0000 0.5000 0.5000 Sb
0.5000 0.0000 0.5000 Sb
0.5000 0.5000 0.0000 Sb
```

## Properties
Uncorrected energy ... -5.47 eV per atom
SG ... No. 221
ΔE_f (raw) ... 0.76 eV/atom


5.
First-principles (PBE) data for crystalline CdSi at its relaxed geometry, as listed in Alexandria.

Structure (POSCAR):
```
CdSi
1.0
5.1329 -1.6039 0.0000
5.1329 1.6039 0.0000
-2.0168 0.0000 7.4266
Cd Si
3 3
Direct
0.0000 0.0000 0.0000 Cd
0.3115 0.3115 0.1663 Cd
0.6213 0.6213 0.3375 Cd
0.1067 0.1067 0.7122 Si
0.4255 0.4255 0.5556 Si
0.7883 0.7883 0.6906 Si
```

## Properties
Uncorrected energy ... -2.87 eV per atom
SG ... No. 8
ΔE_f (raw) ... 0.30 eV/atom


6.
First-principles (PBE) data for crystalline NaTi3Au at its relaxed geometry, as listed in Alexandria.

Structure (POSCAR):
```
NaTi3Au
1.0
5.0396 0.0000 0.0000
0.0000 5.0396 0.0000
0.0000 0.0000 5.0396
Na Ti Au
1 3 1
Direct
0.0000 0.0000 0.0000 Na
0.0000 0.5000 0.5000 Ti
0.5000 0.0000 0.5000 Ti
0.5000 0.5000 0.0000 Ti
0.5000 0.5000 0.5000 Au
```

## Properties
Uncorrected energy ... -4.85 eV per atom
SG ... No. 221


7.
First-principles (PBE) data for crystalline KMg3 at its relaxed geometry, as listed in Alexandria.

Structure (POSCAR):
```
KMg3
1.0
1.7711 1.0225 11.2624
-1.7711 1.0225 11.2624
0.0000 -2.0451 11.2624
K Mg
1 3
Direct
0.0000 0.0000 0.0000 K
0.2358 0.2358 0.2358 Mg
0.5000 0.5000 0.5000 Mg
0.7642 0.7642 0.7642 Mg
```

## Properties
Uncorrected energy ... -1.24 eV per atom
SG ... No. 166


8.
First-principles (PBE) data for crystalline CeSmThZn at its relaxed geometry, as listed in Alexandria.

Structure (POSCAR):
```
CeSmThZn
1.0
0.0000 3.7398 3.7398
3.7398 0.0000 3.7398
3.7398 3.7398 0.0000
Ce Sm Th Zn
1 1 1 1
Direct
0.0000 0.0000 0.0000 Ce
0.7500 0.7500 0.7500 Sm
0.2500 0.2500 0.2500 Th
0.5000 0.5000 0.5000 Zn
```

## Properties
Uncorrected energy ... -4.72 eV per atom
SG ... No. 216


9.
First-principles (PBE) data for crystalline CaReRu2S at its relaxed geometry, as listed in Alexandria.

Structure (POSCAR):
```
CaReRu2S
1.0
4.3366 0.0000 0.0000
0.0000 4.3366 0.0000
0.0000 0.0000 4.8899
Ca Re Ru S
1 1 2 1
Direct
0.0000 0.0000 0.0000 Ca
0.5000 0.5000 0.0000 Re
0.0000 0.5000 0.5000 Ru
0.5000 0.0000 0.5000 Ru
0.0000 0.0000 0.5000 S
```

## Properties
Uncorrected energy ... -6.57 eV per atom
SG ... No. 123
ΔE_f (raw) ... 0.86 eV/atom


10.
First-principles (PBE) data for crystalline TaP2O8 at its relaxed geometry, as listed in Alexandria.

Structure (POSCAR):
```
TaP2O8
1.0
6.5968 -3.8365 0.0000
6.5968 3.8365 0.0000
-5.6268 0.0000 7.4262
Ta P O
2 4 16
Direct
0.0295 0.9705 0.7500 Ta
0.9705 0.0295 0.2500 Ta
0.1343 0.6811 0.4518 P
0.3189 0.8657 0.0482 P
0.6811 0.1343 0.9518 P
0.8657 0.3189 0.5482 P
0.0626 0.7798 0.3101 O
0.0709 0.2389 0.4983 O
0.1821 0.7312 0.8600 O
0.2202 0.9374 0.1899 O
0.2389 0.0709 0.9983 O
0.2421 0.4432 0.3858 O
0.2688 0.8179 0.6400 O
0.4432 0.2421 0.8858 O
0.5568 0.7579 0.1142 O
0.7312 0.1821 0.3600 O
0.7579 0.5568 0.6142 O
0.7611 0.9291 0.0017 O
0.7798 0.0626 0.8101 O
0.8179 0.2688 0.1400 O
0.9291 0.7611 0.5017 O
0.9374 0.2202 0.6899 O
```

## Properties
Uncorrected energy ... -7.71 eV per atom
SG ... No. 15
ΔE_f (raw) ... -2.04 eV/atom


11.
First-principles (PBE) data for crystalline Tc5Mo at its relaxed geometry, as listed in Alexandria.

Structure (POSCAR):
```
Tc5Mo
1.0
4.7938 0.0000 0.0000
-2.3969 4.1515 0.0000
0.0000 0.0000 4.4544
Tc Mo
5 1
Direct
0.0000 0.3361 0.0000 Tc
0.3333 0.6667 0.5000 Tc
0.3361 0.0000 0.0000 Tc
0.6639 0.6639 0.0000 Tc
0.6667 0.3333 0.5000 Tc
0.0000 0.0000 0.5000 Mo
```

## Properties
Uncorrected energy ... -10.38 eV per atom
SG ... No. 189